Entry 1:
## La7PrEr4 (PBE-GGA)

Data for a relaxed structure of La7PrEr4.

Summary:
crystal system: triclinic
total magnetic moment: 0.0000 μB per atom
total energy: -57.2 eV/cell
energy of formation from the pure elements: 2.74 kJ/mol of atoms

Cell: 6.3713 7.2794 9.6875 Å, 100.83 109.04 90.09°
Space group P-1 (No. 2)
Asymmetric unit:
La1 0.0000 0.0000 0.0000 (multiplicity 1)
La2 0.1650 0.4152 0.6631 (multiplicity 2)
La3 0.3343 0.8352 0.3356 (multiplicity 2)
La4 0.4984 0.2476 0.9992 (multiplicity 2)
Pr1 0.0000 0.5000 0.0000 (multiplicity 1)
Er1 0.1650 0.9152 0.6645 (multiplicity 2)
Er2 0.3371 0.3329 0.3351 (multiplicity 2)

***

Entry 2:
## La3Pr5Er3 (PBE-GGA)

Data for a relaxed structure of La3Pr5Er3.

Summary:
crystal system: hexagonal
total magnetic moment: 0.0000 μB per atom
total energy: -49.0 eV/cell
energy of formation from the pure elements: 29.28 kJ/mol of atoms

Cell: 11.5285 11.5285 3.4680 Å, 90.00 90.00 120.00°
Space group P-62m (No. 189)
Asymmetric unit:
La1 0.0000 0.5988 0.0000 (multiplicity 3)
Pr1 0.0000 0.3351 0.5000 (multiplicity 3)
Pr2 0.3333 0.6667 0.5000 (multiplicity 2)
Er1 0.0000 0.8424 0.5000 (multiplicity 3)

***

Entry 3:
## La2Pr8Er3 (PBE-GGA)

Data for a relaxed structure of La2Pr8Er3.

Summary:
crystal system: monoclinic
total magnetic moment: 0.0000 μB per atom
total energy: -119.6 eV/cell
energy of formation from the pure elements: 14.78 kJ/mol of atoms

Cell: 13.5804 11.9372 6.2047 Å, 90.00 113.96 90.00°
Space group C2/m (No. 12)
Asymmetric unit:
La1 0.1886 0.0000 0.3423 (multiplicity 4)
Pr1 0.0854 0.0000 0.7655 (multiplicity 4)
Pr2 0.1376 0.5000 0.1083 (multiplicity 4)
Pr3 0.1610 0.2606 0.6566 (multiplicity 8)
Er1 0.0000 0.2385 0.0000 (multiplicity 4)
Er2 0.0000 0.5000 0.5000 (multiplicity 2)

***

Entry 4:
## LaPr4Er3 (PBE-GGA)

Data for a relaxed structure of LaPr4Er3.

Summary:
crystal system: orthorhombic
total magnetic moment: 0.0017 μB per atom
total energy: -74.9 eV/cell
energy of formation from the pure elements: 3.23 kJ/mol of atoms

Cell: 11.7332 7.3898 6.3642 Å, 90.00 90.00 90.00°
Space group Pmn2_1 (No. 31)
Asymmetric unit:
La1 0.0000 0.1254 0.0000 (multiplicity 2)
Pr1 0.0000 0.3708 0.5086 (multiplicity 2)
Pr2 0.0000 0.6318 0.9942 (multiplicity 2)
Pr3 0.2447 0.6265 0.3374 (multiplicity 4)
Er1 0.0000 0.8789 0.5013 (multiplicity 2)
Er2 0.2494 0.1199 0.3346 (multiplicity 4)

***

Entry 5:
## La3PrEr7 (PBE-GGA)

Data for a relaxed structure of La3PrEr7.

Summary:
crystal system: monoclinic
total magnetic moment: 0.0001 μB per atom
total energy: -97.2 eV/cell
energy of formation from the pure elements: 25.64 kJ/mol of atoms

Cell: 12.7143 11.2699 5.8727 Å, 90.00 117.41 90.00°
Space group C2/m (No. 12)
Asymmetric unit:
La1 0.0000 0.0000 0.0000 (multiplicity 2)
La2 0.0000 0.2135 0.5000 (multiplicity 4)
Pr1 0.0000 0.5000 0.0000 (multiplicity 2)
Er1 0.0000 0.5000 0.5000 (multiplicity 2)
Er2 0.2061 0.0000 0.7053 (multiplicity 4)
Er3 0.2105 0.1945 0.2103 (multiplicity 8)

***

Entry 6:
## La3Pr4Er3 (PBE-GGA)

Data for a relaxed structure of La3Pr4Er3.

Summary:
crystal system: orthorhombic
total magnetic moment: 0.0011 μB per atom
total energy: -93.5 eV/cell
energy of formation from the pure elements: 8.24 kJ/mol of atoms

Cell: 3.8631 13.6061 13.5131 Å, 90.00 90.00 90.00°
Space group Amm2 (No. 38)
Asymmetric unit:
La1 0.0000 0.0000 0.0000 (multiplicity 2)
La2 0.5000 0.2444 0.5826 (multiplicity 4)
Pr1 0.5000 0.0000 0.2050 (multiplicity 2)
Pr2 0.5000 0.0000 0.4592 (multiplicity 2)
Pr3 0.5000 0.1304 0.8276 (multiplicity 4)
Er1 0.0000 0.0000 0.6609 (multiplicity 2)
Er2 0.0000 0.1685 0.3324 (multiplicity 4)

***

Entry 7:
## La3PrEr7 (PBE-GGA)

Data for a relaxed structure of La3PrEr7.

Summary:
crystal system: triclinic
total magnetic moment: 0.0000 μB per atom
total energy: -50.2 eV/cell
energy of formation from the pure elements: 11.37 kJ/mol of atoms

Cell: 6.5654 6.7026 8.6639 Å, 99.44 98.67 94.94°
Space group P-1 (No. 2)
Asymmetric unit:
La1 0.0000 0.0000 0.0000 (multiplicity 1)
La2 0.2006 0.5603 0.1601 (multiplicity 2)
Pr1 0.5000 0.0000 0.5000 (multiplicity 1)
Er1 0.0131 0.7661 0.5820 (multiplicity 2)
Er2 0.2770 0.2776 0.7853 (multiplicity 2)
Er3 0.4403 0.7940 0.8542 (multiplicity 2)
Er4 0.5000 0.5000 0.5000 (multiplicity 1)

***

Entry 8:
## La5Pr3Er3 (PBE-GGA)

Data for a relaxed structure of La5Pr3Er3.

Summary:
crystal system: hexagonal
total magnetic moment: 0.0008 μB per atom
total energy: -49.5 eV/cell
energy of formation from the pure elements: 27.72 kJ/mol of atoms

Cell: 11.5416 11.5416 3.4884 Å, 90.00 90.00 120.00°
Space group P-62m (No. 189)
Asymmetric unit:
La1 0.0000 0.6645 0.0000 (multiplicity 3)
La2 0.3333 0.6667 0.0000 (multiplicity 2)
Pr1 0.0000 0.4012 0.5000 (multiplicity 3)
Er1 0.0000 0.1583 0.0000 (multiplicity 3)

***

Entry 9:
## La2PrEr (PBE-GGA)

Data for a relaxed structure of La2PrEr.

Summary:
crystal system: cubic
total magnetic moment: 0.0003 μB per atom
total energy: -75.0 eV/cell
energy of formation from the pure elements: 10.59 kJ/mol of atoms

Cell: 8.2945 8.2945 8.2945 Å, 90.00 90.00 90.00°
Space group Fm-3m (No. 225)
Asymmetric unit:
La1 0.2500 0.2500 0.2500 (multiplicity 8)
Pr1 0.0000 0.0000 0.0000 (multiplicity 4)
Er1 0.0000 0.0000 0.5000 (multiplicity 4)

***

Entry 10:
## La2PrEr (PBE-GGA)

Data for a relaxed structure of La2PrEr.

Summary:
crystal system: tetragonal
total magnetic moment: 0.0001 μB per atom
total energy: -19.2 eV/cell
energy of formation from the pure elements: 1.03 kJ/mol of atoms

Cell: 5.2005 5.2005 5.1631 Å, 90.00 90.00 90.00°
Space group P4/mmm (No. 123)
Asymmetric unit:
La1 0.0000 0.5000 0.0000 (multiplicity 2)
Pr1 0.0000 0.0000 0.5000 (multiplicity 1)
Er1 0.5000 0.5000 0.5000 (multiplicity 1)

***

Entry 11:
## La2Pr7Er3 (PBE-GGA)

Data for a relaxed structure of La2Pr7Er3.

Summary:
crystal system: monoclinic
total magnetic moment: 0.0000 μB per atom
total energy: -55.9 eV/cell
energy of formation from the pure elements: 8.72 kJ/mol of atoms

Cell: 5.9966 3.6703 19.3122 Å, 90.00 93.74 90.00°
Space group P2/m (No. 10)
Asymmetric unit:
La1 0.1975 0.0000 0.2987 (multiplicity 2)
Pr1 0.1711 0.5000 0.1430 (multiplicity 2)
Pr2 0.2414 0.0000 0.4647 (multiplicity 2)
Pr3 0.3269 0.0000 0.8211 (multiplicity 2)
Pr4 0.5000 0.5000 0.0000 (multiplicity 1)
Er1 0.0000 0.0000 0.0000 (multiplicity 1)
Er2 0.2881 0.5000 0.6300 (multiplicity 2)

***

Entry 12:
## La2Pr5Er6 (PBE-GGA)

Data for a relaxed structure of La2Pr5Er6.

Summary:
crystal system: orthorhombic
total magnetic moment: 0.0000 μB per atom
total energy: -119.9 eV/cell
energy of formation from the pure elements: 8.91 kJ/mol of atoms

Cell: 11.7526 20.8849 3.6214 Å, 90.00 90.00 90.00°
Space group Pbam (No. 55)
Asymmetric unit:
La1 0.1851 0.2305 0.0000 (multiplicity 4)
Pr1 0.0000 0.5000 0.5000 (multiplicity 2)
Pr2 0.0722 0.7901 0.5000 (multiplicity 4)
Pr3 0.1980 0.0643 0.5000 (multiplicity 4)
Er1 0.0629 0.6429 0.0000 (multiplicity 4)
Er2 0.0711 0.9323 0.0000 (multiplicity 4)
Er3 0.1888 0.3791 0.5000 (multiplicity 4)

***

Entry 13:
## La10Pr4Er (PBE-GGA)

Data for a relaxed structure of La10Pr4Er.

Summary:
crystal system: tetragonal
total magnetic moment: 0.0001 μB per atom
total energy: -136.2 eV/cell
energy of formation from the pure elements: 31.31 kJ/mol of atoms

Cell: 10.1260 10.1260 11.1143 Å, 90.00 90.00 90.00°
Space group I4/m (No. 87)
Asymmetric unit:
La1 0.0000 0.5000 0.2500 (multiplicity 4)
La2 0.1161 0.7625 0.1655 (multiplicity 16)
Pr1 0.0625 0.7271 0.5000 (multiplicity 8)
Er1 0.0000 0.0000 0.0000 (multiplicity 2)

***

Entry 14:
## LaPr8Er2 (PBE-GGA)

Data for a relaxed structure of LaPr8Er2.

Summary:
crystal system: orthorhombic
total magnetic moment: 0.0000 μB per atom
total energy: -102.3 eV/cell
energy of formation from the pure elements: 9.96 kJ/mol of atoms

Cell: 5.7322 8.4720 16.1841 Å, 90.00 90.00 90.00°
Space group Immm (No. 71)
Asymmetric unit:
La1 0.0000 0.0000 0.0000 (multiplicity 2)
Pr1 0.0000 0.2049 0.5000 (multiplicity 4)
Pr2 0.0000 0.2966 0.1403 (multiplicity 8)
Pr3 0.0000 0.5000 0.3376 (multiplicity 4)
Er1 0.0000 0.0000 0.2999 (multiplicity 4)

***

Entry 15:
## LaPrEr2 (PBE-GGA)

Data for a relaxed structure of LaPrEr2.

Summary:
crystal system: tetragonal
total magnetic moment: 0.0009 μB per atom
total energy: -18.7 eV/cell
energy of formation from the pure elements: 2.34 kJ/mol of atoms

Cell: 5.1875 5.1875 4.9793 Å, 90.00 90.00 90.00°
Space group P4/mmm (No. 123)
Asymmetric unit:
La1 0.0000 0.0000 0.0000 (multiplicity 1)
Pr1 0.5000 0.5000 0.0000 (multiplicity 1)
Er1 0.0000 0.5000 0.5000 (multiplicity 2)

***

Entry 16:
## La3Pr3Er8 (PBE-GGA)

Data for a relaxed structure of La3Pr3Er8.

Summary:
crystal system: orthorhombic
total magnetic moment: 0.0000 μB per atom
total energy: -128.3 eV/cell
energy of formation from the pure elements: 10.05 kJ/mol of atoms

Cell: 5.7058 10.8298 15.3748 Å, 90.00 90.00 90.00°
Space group Immm (No. 71)
Asymmetric unit:
La1 0.0000 0.0000 0.0000 (multiplicity 2)
La2 0.0000 0.5000 0.3106 (multiplicity 4)
Pr1 0.0000 0.0000 0.5000 (multiplicity 2)
Pr2 0.0000 0.3031 0.5000 (multiplicity 4)
Er1 0.0000 0.1620 0.2803 (multiplicity 8)
Er2 0.0000 0.3405 0.1021 (multiplicity 8)

***

Entry 17:
## La3Pr3Er5 (PBE-GGA)

Data for a relaxed structure of La3Pr3Er5.

Summary:
crystal system: hexagonal
total magnetic moment: 0.0000 μB per atom
total energy: -43.9 eV/cell
energy of formation from the pure elements: 70.17 kJ/mol of atoms

Cell: 9.7056 9.7056 5.5152 Å, 90.00 90.00 120.00°
Space group P-62m (No. 189)
Asymmetric unit:
La1 0.0000 0.6410 0.0000 (multiplicity 3)
Pr1 0.0000 0.4968 0.5000 (multiplicity 3)
Er1 0.0000 0.2853 0.0000 (multiplicity 3)
Er2 0.3333 0.6667 0.0000 (multiplicity 2)

***

Entry 18:
## La5PrEr (PBE-GGA)

Data for a relaxed structure of La5PrEr.

Summary:
crystal system: monoclinic
total magnetic moment: 0.0000 μB per atom
total energy: -132.5 eV/cell
energy of formation from the pure elements: 11.75 kJ/mol of atoms

Cell: 16.8701 6.7931 11.0878 Å, 90.00 126.67 90.00°
Space group C2/c (No. 15)
Asymmetric unit:
La1 0.0000 0.0071 0.2500 (multiplicity 4)
La2 0.0889 0.2555 0.5913 (multiplicity 8)
La3 0.1746 0.2531 0.0909 (multiplicity 8)
Pr1 0.2500 0.2500 0.5000 (multiplicity 4)
Er1 0.0000 0.4892 0.2500 (multiplicity 4)

***

Entry 19:
## LaPr3Er7 (PBE-GGA)

Data for a relaxed structure of LaPr3Er7.

Summary:
crystal system: monoclinic
total magnetic moment: 0.0000 μB per atom
total energy: -96.8 eV/cell
energy of formation from the pure elements: 24.77 kJ/mol of atoms

Cell: 12.6790 11.2692 5.8672 Å, 90.00 117.47 90.00°
Space group C2/m (No. 12)
Asymmetric unit:
La1 0.0000 0.0000 0.0000 (multiplicity 2)
Pr1 0.0000 0.2877 0.5000 (multiplicity 4)
Pr2 0.0000 0.5000 0.0000 (multiplicity 2)
Er1 0.0000 0.0000 0.5000 (multiplicity 2)
Er2 0.2041 0.5000 0.7033 (multiplicity 4)
Er3 0.2133 0.3089 0.2132 (multiplicity 8)

***

Entry 20:
## LaPr4Er7 (PBE-GGA)

Data for a relaxed structure of LaPr4Er7.

Summary:
crystal system: monoclinic
total magnetic moment: 0.0000 μB per atom
total energy: -106.0 eV/cell
energy of formation from the pure elements: 24.08 kJ/mol of atoms

Cell: 12.2175 5.9351 12.8282 Å, 90.00 117.85 90.00°
Space group C2/m (No. 12)
Asymmetric unit:
La1 0.0000 0.0000 0.0000 (multiplicity 2)
Pr1 0.1332 0.5000 0.7770 (multiplicity 4)
Pr2 0.2296 0.0000 0.6701 (multiplicity 4)
Er1 0.0000 0.5000 0.0000 (multiplicity 2)
Er2 0.0665 0.0000 0.3206 (multiplicity 4)
Er3 0.1332 0.5000 0.4976 (multiplicity 4)
Er4 0.2107 0.0000 0.9234 (multiplicity 4)

***

Entry 21:
## LaPr6Er5 (PBE-GGA)

Data for a relaxed structure of LaPr6Er5.

Summary:
crystal system: orthorhombic
total magnetic moment: 0.0000 μB per atom
total energy: -112.4 eV/cell
energy of formation from the pure elements: 1.95 kJ/mol of atoms

Cell: 5.1648 15.5207 10.1426 Å, 90.00 90.00 90.00°
Space group Cmmm (No. 65)
Asymmetric unit:
La1 0.0000 0.0000 0.0000 (multiplicity 2)
Pr1 0.0000 0.1669 0.2529 (multiplicity 8)
Pr2 0.0000 0.5000 0.2536 (multiplicity 4)
Er1 0.0000 0.0000 0.5000 (multiplicity 2)
Er2 0.0000 0.3308 0.0000 (multiplicity 4)
Er3 0.0000 0.3333 0.5000 (multiplicity 4)